No. 1
DFT (PBE-GGA) results for crystalline LaSm4Hg4 at its relaxed geometry.

Output
As for the formation energy: -0.2675 eV/atom. The crystal system is tetragonal. The total magnetization comes out at 0.00 μB/f.u.

Cell lengths 9.715, 9.715, 5.670 Å; angles 90.00, 90.00, 90.00 degrees
Space group P4_2/n (No. 86, origin choice 2)
One atom of each set of equivalent atoms:
La 0.250 0.250 0.250 (multiplicity 2)
Sm 0.098 0.839 0.660 (multiplicity 8)
Hg 0.042 0.144 0.839 (multiplicity 8)



No. 2
DFT (PBE-GGA) results for crystalline La8SmHg2 at its relaxed geometry.

Output
The energy above the most stable polymorph in this dataset is 0.052 eV per atom. As for the formation energy: -0.0962 eV/atom. The crystal system is monoclinic. The total magnetization comes out at 0.00 μB/f.u.

Cell lengths 9.069, 15.237, 5.934 Å; angles 90.00, 110.62, 90.00 degrees
Space group C2/m (No. 12)
One atom of each set of equivalent atoms:
La 0.000 0.228 0.000 (multiplicity 4)
La 0.103 0.500 0.806 (multiplicity 4)
La 0.196 0.110 0.595 (multiplicity 8)
Sm 0.000 0.000 0.000 (multiplicity 2)
Hg 0.000 0.307 0.500 (multiplicity 4)



No. 3
DFT (PBE-GGA) results for crystalline LaSm4Hg at its relaxed geometry.

Output
The energy above the most stable polymorph in this dataset is 0.000 eV per atom. As for the formation energy: -0.1442 eV/atom. The crystal system is tetragonal. The total magnetization comes out at 0.00 μB/f.u.

Cell lengths 3.689, 3.689, 14.222 Å; angles 90.00, 90.00, 90.00 degrees
Space group P4/mmm (No. 123)
One atom of each set of equivalent atoms:
La 0.000 0.000 0.000 (multiplicity 1)
Sm 0.000 0.000 0.360 (multiplicity 2)
Sm 0.500 0.500 0.183 (multiplicity 2)
Hg 0.500 0.500 0.500 (multiplicity 1)



No. 4
DFT (PBE-GGA) results for crystalline LaSmHg4 at its relaxed geometry.

Output
The energy above the most stable polymorph in this dataset is 0.000 eV per atom. As for the formation energy: -0.4497 eV/atom. The crystal system is orthorhombic. The total magnetization comes out at 0.30 μB/f.u.

Cell lengths 3.485, 5.103, 8.765 Å; angles 90.00, 90.00, 90.00 degrees
Space group Pmmm (No. 47)
One atom of each set of equivalent atoms:
La 0.000 0.000 0.000 (multiplicity 1)
Sm 0.000 0.500 0.500 (multiplicity 1)
Hg 0.500 0.000 0.336 (multiplicity 2)
Hg 0.500 0.500 0.170 (multiplicity 2)



No. 5
DFT (PBE-GGA) results for crystalline LaSmHg at its relaxed geometry.

Output
The energy above the most stable polymorph in this dataset is 0.103 eV per atom. As for the formation energy: -0.2089 eV/atom. The crystal system is monoclinic. The total magnetization comes out at 0.00 μB/f.u.

Cell lengths 8.846, 5.571, 8.115 Å; angles 90.00, 108.79, 90.00 degrees
Space group Cm (No. 8)
One atom of each set of equivalent atoms:
La 0.000 0.000 0.000 (multiplicity 2)
La 0.125 0.000 0.511 (multiplicity 2)
Sm 0.092 0.500 0.724 (multiplicity 2)
Sm 0.219 0.500 0.232 (multiplicity 2)
Hg 0.322 0.000 0.914 (multiplicity 2)
Hg 0.401 0.000 0.316 (multiplicity 2)



No. 6
DFT (PBE-GGA) results for crystalline La5SmHg at its relaxed geometry.

Output
As for the formation energy: -0.0129 eV/atom. The crystal system is monoclinic. The total magnetization comes out at 0.00 μB/f.u.

Cell lengths 8.912, 9.611, 11.930 Å; angles 90.00, 108.15, 90.00 degrees
Space group C2/c (No. 15)
One atom of each set of equivalent atoms:
La 0.000 0.126 0.250 (multiplicity 4)
La 0.115 0.335 0.533 (multiplicity 8)
La 0.210 0.189 0.852 (multiplicity 8)
Sm 0.000 0.493 0.250 (multiplicity 4)
Hg 0.000 0.000 0.000 (multiplicity 4)